Zn2TeS: relaxed, GGA-PBEsol.

Results
ΔE_f (raw) (meV/atom): -573
Total magnetic moment (μB/f.u.): 0.000
Calculated volume (Å³ per cell): 370.87
Final energy (eV per atom): -3.342

Cell: 5.713 5.713 11.364 Å, 90.00 90.00 90.00°
Atoms (fractional coordinates):
Zn1 0.209 0.250 0.125
Zn2 0.250 0.709 0.375
Zn3 0.250 0.791 0.875
Zn4 0.291 0.250 0.625
Zn5 0.709 0.750 0.625
Zn6 0.750 0.209 0.875
Zn7 0.750 0.291 0.375
Zn8 0.791 0.750 0.125
Te1 0.000 0.000 0.500
Te2 0.000 0.500 0.750
Te3 0.500 0.000 0.250
Te4 0.500 0.500 0.000
S1 0.000 0.000 0.000
S2 0.000 0.500 0.250
S3 0.500 0.000 0.750
S4 0.500 0.500 0.500